(1)
La4HN2O: optimized geometry, GGA-PBE.

POSCAR file:
```
La4HN2O
1.0
6.405 0.000 0.000
0.000 3.693 0.000
-2.091 0.000 6.107
La H N O
4 1 2 1
direct
0.237 0.000 0.233
0.247 0.500 0.761
0.753 0.500 0.239
0.763 0.000 0.767
0.500 0.500 0.500
0.000 0.500 0.000
0.500 0.000 0.000
0.000 0.000 0.500
```

Total magnetic moment ... 0.000 μB/f.u.
Space group ... P2/m, No. 10
D(E_F) ... 3.024 states/eV/cell
Energy ... -7.130 eV/atom

(2)
EuLu2Pd: optimized geometry, GGA-PBE.

POSCAR file:
```
EuLu2Pd
1.0
3.505 0.000 0.000
0.000 3.505 0.000
0.000 0.000 8.876
Eu Lu Pd
1 2 1
direct
0.000 0.000 0.000
0.500 0.500 0.316
0.500 0.500 0.684
0.000 0.000 0.500
```

Total magnetic moment ... 7.714 μB/f.u.
E above lowest polymorph ... 0.0 kJ/mol of atoms
Space group ... P4/mmm, No. 123
D(E_F) ... 4.232 states/eV/cell
Formation energy ... -0.41 eV per atom

(3)
Zn2PBr: optimized geometry, GGA-PBE.

POSCAR file:
```
Zn2PBr
1.0
0.000 3.364 3.364
3.364 0.000 3.364
3.364 3.364 0.000
Zn P Br
2 1 1
direct
0.000 0.000 0.000
0.250 0.250 0.250
0.750 0.750 0.750
0.500 0.500 0.500
```

Total magnetic moment ... 0.000 μB/f.u.
Raw formation energy ... 0.58 eV/atom
E above lowest polymorph ... 100.1 kJ/mol of atoms
Space group ... F-43m, No. 216
D(E_F) ... 3.225 states/eV/cell

(4)
TiNbMoOs: optimized geometry, GGA-PBE.

POSCAR file:
```
TiNbMoOs
1.0
0.000 3.166 3.166
3.166 0.000 3.166
3.166 3.166 0.000
Ti Nb Mo Os
1 1 1 1
direct
0.000 0.000 0.000
0.500 0.500 0.500
0.750 0.750 0.750
0.250 0.250 0.250
```

Total magnetic moment ... 0.000 μB/f.u.
E above lowest polymorph ... 0.0 kJ/mol of atoms
Space group ... F-43m, No. 216
D(E_F) ... 2.147 states/eV/cell
Formation energy ... -0.38 eV per atom

(5)
Ba2NaUTe6: optimized geometry, GGA-PBE.

POSCAR file:
```
Ba2NaUTe6
1.0
7.165 0.000 0.000
0.000 12.269 0.000
0.000 0.000 9.716
Ba Na U Te
4 2 2 12
direct
0.250 0.040 0.160
0.250 0.460 0.160
0.750 0.540 0.840
0.750 0.960 0.840
0.250 0.250 0.685
0.750 0.750 0.315
0.250 0.750 0.812
0.750 0.250 0.188
0.004 0.250 0.954
0.025 0.250 0.406
0.250 0.508 0.800
0.250 0.992 0.800
0.475 0.250 0.406
0.496 0.250 0.954
0.504 0.750 0.046
0.525 0.750 0.594
0.750 0.008 0.200
0.750 0.492 0.200
0.975 0.750 0.594
0.996 0.750 0.046
```

Total magnetic moment ... 0.123 μB/f.u.
Raw formation energy ... -0.95 eV/atom
Space group ... Pmmn, No. 59
D(E_F) ... 6.075 states/eV/cell

(6)
Sc4Ga2Hg3: optimized geometry, GGA-PBE.

POSCAR file:
```
Sc4Ga2Hg3
1.0
4.118 -2.376 0.000
4.118 2.376 0.000
-0.009 0.000 9.681
Sc Ga Hg
4 2 3
direct
0.000 0.000 0.177
0.000 0.000 0.823
0.334 0.334 0.620
0.666 0.666 0.380
0.333 0.333 0.295
0.667 0.667 0.705
0.000 0.000 0.500
0.333 0.333 0.939
0.667 0.667 0.061
```

Total magnetic moment ... 0.000 μB/f.u.
Space group ... C2/m, No. 12
D(E_F) ... 9.598 states/eV/cell
Formation energy ... -0.40 eV per atom

(7)
AcBOs: optimized geometry, GGA-PBE.

POSCAR file:
```
AcBOs
1.0
2.862 -2.861 0.000
2.862 2.861 0.000
-0.022 0.000 8.695
Ac B Os
2 2 2
direct
0.249 0.249 0.210
0.751 0.751 0.790
0.250 0.250 0.583
0.750 0.750 0.417
0.250 0.750 0.500
0.750 0.250 0.500
```

Total magnetic moment ... 0.000 μB/f.u.
E above lowest polymorph ... 0.0 kJ/mol of atoms
Space group ... C2/m, No. 12
D(E_F) ... 5.286 states/eV/cell
Formation energy ... -0.21 eV per atom

(8)
YInTe2I: optimized geometry, GGA-PBE.

POSCAR file:
```
YInTe2I
1.0
5.697 0.000 0.000
0.000 5.697 0.000
0.000 0.000 5.607
Y In Te I
1 1 2 1
direct
0.000 0.000 0.000
0.500 0.500 0.500
0.000 0.500 0.500
0.500 0.000 0.500
0.500 0.500 0.000
```

Total magnetic moment ... 0.000 μB/f.u.
Raw formation energy ... -0.08 eV/atom
E above lowest polymorph ... 50.8 kJ/mol of atoms
Space group ... P4/mmm, No. 123
D(E_F) ... 1.823 states/eV/cell

Among the records above, which one has the highest total magnetic moment? EuLu2Pd

What did the sixth record say?
Sc4Ga2Hg3: optimized geometry, GGA-PBE.

POSCAR file:
```
Sc4Ga2Hg3
1.0
4.118 -2.376 0.000
4.118 2.376 0.000
-0.009 0.000 9.681
Sc Ga Hg
4 2 3
direct
0.000 0.000 0.177
0.000 0.000 0.823
0.334 0.334 0.620
0.666 0.666 0.380
0.333 0.333 0.295
0.667 0.667 0.705
0.000 0.000 0.500
0.333 0.333 0.939
0.667 0.667 0.061
```

Total magnetic moment ... 0.000 μB/f.u.
Space group ... C2/m, No. 12
D(E_F) ... 9.598 states/eV/cell
Formation energy ... -0.40 eV per atom

Which of these has the highest D(E_F)? Sc4Ga2Hg3